1.
AlRh4 | GGA-PBE | relaxed

Values from the calculation:
energy	-29.15	eV/cell
E_form	801	meV per atom

Cell: 4.3982 4.3982 4.3982 Å, 90.00 90.00 90.00°
Space group Pm-3m (No. 221)
One atom of each set of equivalent atoms:
1 Al 0.0000 0.0000 0.0000
2 Rh 0.0000 0.0000 0.5000
3 Rh 0.5000 0.5000 0.5000



2.
Al2Rh7 | GGA-PBE | relaxed

Values from the calculation:
energy	-62.23	eV/cell
E_form	-365	meV per atom

Cell: 4.7267 4.7267 6.5582 Å, 90.00 90.00 120.00°
Space group P-31m (No. 162)
One atom of each set of equivalent atoms:
1 Al 0.3333 0.6667 0.0000
2 Rh 0.0000 0.0000 0.0000
3 Rh 0.0000 0.3300 0.6738



3.
AlRh4 | GGA-PBE | relaxed

Values from the calculation:
energy	-65.14	eV/cell
E_form	115	meV per atom

Cell: 3.5273 3.5273 12.8342 Å, 90.00 90.00 90.00°
Space group I4/mmm (No. 139)
One atom of each set of equivalent atoms:
1 Al 0.0000 0.0000 0.0000
2 Rh 0.0000 0.0000 0.4035
3 Rh 0.0000 0.5000 0.2500



4.
Al3Rh2 | GGA-PBE | relaxed

Values from the calculation:
energy	-59.05	eV/cell
E_form	-719	meV per atom

Cell: 6.6250 2.9906 7.5107 Å, 90.00 102.98 90.00°
Space group P2/m (No. 10)
One atom of each set of equivalent atoms:
1 Al 0.0810 0.0000 0.2756
2 Al 0.2159 0.5000 0.5864
3 Al 0.3885 0.5000 0.1658
4 Rh 0.0000 0.5000 0.0000
5 Rh 0.3115 0.0000 0.8589
6 Rh 0.5000 0.0000 0.5000



5.
Al3Rh5 | GGA-PBE | relaxed

Values from the calculation:
energy	-106.41	eV/cell
E_form	-653	meV per atom

Cell: 7.1076 7.1076 5.2039 Å, 90.00 90.00 120.00°
Space group P6_3/mcm (No. 193)
One atom of each set of equivalent atoms:
1 Al 0.0000 0.3988 0.2500
2 Rh 0.0000 0.2419 0.7500
3 Rh 0.3333 0.6667 0.0000



6.
Al4Rh | GGA-PBE | relaxed

Values from the calculation:
energy	-47.01	eV/cell
E_form	-237	meV per atom

Cell: 5.7429 5.7429 5.7429 Å, 90.00 90.00 90.00°
Space group Im-3m (No. 229)
One atom of each set of equivalent atoms:
1 Al 0.2500 0.2500 0.2500
2 Rh 0.0000 0.0000 0.0000



7.
Al5Rh3 | GGA-PBE | relaxed

Values from the calculation:
energy	-88.51	eV/cell
E_form	-436	meV per atom

Cell: 9.2063 2.9179 9.1344 Å, 90.00 99.82 90.00°
Space group C2/m (No. 12)
One atom of each set of equivalent atoms:
1 Al 0.0000 0.0000 0.0000
2 Al 0.0229 0.5000 0.2819
3 Al 0.2353 0.0000 0.8648
4 Rh 0.0000 0.0000 0.5000
5 Rh 0.2442 0.5000 0.6442



8.
Al2Rh3 | GGA-PBE | relaxed

Values from the calculation:
energy	-32.79	eV/cell
E_form	-651	meV per atom

Cell: 4.1018 4.1018 5.1377 Å, 90.00 90.00 120.00°
Space group P-3m1 (No. 164)
One atom of each set of equivalent atoms:
1 Al 0.3333 0.6667 0.3265
2 Rh 0.0000 0.0000 0.5000
3 Rh 0.3333 0.6667 0.8400